Material: CdIn
Method: DFT, GGA-PBEsol
State: relaxed

Cell and atoms, written as extended XYZ:
```
8
Lattice="5.541 0.000 0.000 0.000 5.312 0.000 0.000 0.000 6.357" Properties=species:S:1:pos:R:3 pbc="T T T"
Cd 0.438 1.328 0.812
Cd 2.332 3.984 3.990
Cd 3.209 1.328 2.367
Cd 5.103 3.984 5.546
In 0.527 1.328 3.969
In 2.243 3.984 0.791
In 3.298 1.328 5.566
In 5.014 3.984 2.388
```

Results
* space group: Pnma (62)
* volume: 23.387 A^3/atom
* total magnetization: 0.0 μB per formula unit
* energy relative to the elements: 0.10 eV per formula unit